[1]
A geometry-optimized TmTcMo structure, computed with PBE.

Cell lengths 7.926, 7.926, 4.107 Å; angles 104.87, 104.87, 30.03 degrees
Sites, in units of the cell vectors:
1 Tm 0.173 0.173 0.172
2 Tm 0.827 0.827 0.828
3 Tc 0.000 0.000 0.500
4 Tc 0.500 0.500 0.000
5 Mo 0.396 0.396 0.396
6 Mo 0.604 0.604 0.604

## Properties
ΔE_f in eV/atom: 0.29

=====

[2]
A geometry-optimized TmTcMo structure, computed with PBE.

Cell lengths 7.938, 7.938, 7.938 Å; angles 150.07, 150.07, 42.84 degrees
Sites, in units of the cell vectors:
1 Tm 0.175 0.175 0.000
2 Tm 0.825 0.825 0.000
3 Tc 0.394 0.394 0.000
4 Tc 0.606 0.606 0.000
5 Mo 0.000 0.500 0.500
6 Mo 0.500 0.000 0.500

## Properties
ΔE_f in eV/atom: 0.20

=====

[3]
A geometry-optimized Tm2TcMo3 structure, computed with PBE.

Cell lengths 5.453, 5.453, 5.456 Å; angles 119.89, 119.89, 59.88 degrees
Sites, in units of the cell vectors:
1 Tm 0.126 0.126 0.377
2 Tm 0.874 0.874 0.623
3 Tc 0.500 0.500 0.500
4 Mo 0.000 0.500 0.000
5 Mo 0.500 0.000 0.000
6 Mo 0.500 0.500 0.000

## Properties
ΔE_f in eV/atom: -0.05

=====

[4]
A geometry-optimized TmTcMo structure, computed with PBE.

Cell lengths 5.793, 5.793, 5.793 Å; angles 147.80, 147.80, 46.19 degrees
Sites, in units of the cell vectors:
1 Tm 0.000 0.000 0.000
2 Tc 0.683 0.683 0.000
3 Mo 0.310 0.310 0.000

## Properties
ΔE_f in eV/atom: -0.03

=====

[5]
A geometry-optimized UTcMo structure, computed with PBE.

Cell lengths 4.765, 4.765, 4.765 Å; angles 134.27, 134.27, 66.67 degrees
Sites, in units of the cell vectors:
1 U 0.000 0.000 0.000
2 Tc 0.690 0.690 0.000
3 Mo 0.309 0.309 0.000

## Properties
ΔE_f in eV/atom: 0.18

=====

[6]
A geometry-optimized U2TcMo structure, computed with PBE.

Cell lengths 4.783, 4.783, 4.783 Å; angles 60.00, 60.00, 60.00 degrees
Sites, in units of the cell vectors:
1 U 0.250 0.250 0.250
2 U 0.750 0.750 0.750
3 Tc 0.000 0.000 0.000
4 Mo 0.500 0.500 0.500

## Properties
ΔE_f in eV/atom: 0.23

=====

[7]
A geometry-optimized UTcMo structure, computed with PBE.

Cell lengths 4.511, 4.511, 2.865 Å; angles 90.00, 90.00, 120.00 degrees
Sites, in units of the cell vectors:
1 U 0.000 0.000 0.000
2 Tc 0.667 0.333 0.731
3 Mo 0.333 0.667 0.240

## Properties
ΔE_f in eV/atom: 0.10

=====

[8]
A geometry-optimized U2TcMo structure, computed with PBE.

Cell lengths 9.111, 9.111, 9.111 Å; angles 19.70, 19.70, 19.70 degrees
Sites, in units of the cell vectors:
1 U 0.249 0.249 0.249
2 U 0.751 0.751 0.751
3 Tc 0.500 0.500 0.500
4 Mo 0.000 0.000 0.000

## Properties
ΔE_f in eV/atom: 0.41

=====

[9]
A geometry-optimized UTc4Mo structure, computed with PBE.

Cell lengths 5.236, 5.236, 5.236 Å; angles 60.00, 60.00, 60.00 degrees
Sites, in units of the cell vectors:
1 U 0.000 0.000 0.000
2 Tc 0.376 0.376 0.376
3 Tc 0.376 0.376 0.873
4 Tc 0.376 0.873 0.376
5 Tc 0.873 0.376 0.376
6 Mo 0.750 0.750 0.750

## Properties
ΔE_f in eV/atom: 0.25

=====

[10]
A geometry-optimized U2TcMo structure, computed with PBE.

Cell lengths 4.776, 4.776, 3.393 Å; angles 90.00, 90.00, 90.00 degrees
Sites, in units of the cell vectors:
1 U 0.000 0.500 0.000
2 U 0.500 0.000 0.000
3 Tc 0.000 0.000 0.500
4 Mo 0.500 0.500 0.500

## Properties
ΔE_f in eV/atom: 0.24

=====

[11]
A geometry-optimized UTc2Mo structure, computed with PBE.

Cell lengths 3.060, 3.060, 7.235 Å; angles 90.00, 90.00, 90.00 degrees
Sites, in units of the cell vectors:
1 U 0.000 0.000 0.000
2 Tc 0.500 0.500 0.285
3 Tc 0.500 0.500 0.715
4 Mo 0.000 0.000 0.500

## Properties
ΔE_f in eV/atom: 0.04

=====

[12]
A geometry-optimized UTc2Mo structure, computed with PBE.

Cell lengths 4.576, 4.576, 3.234 Å; angles 90.00, 90.00, 90.00 degrees
Sites, in units of the cell vectors:
1 U 0.000 0.000 0.000
2 Tc 0.000 0.500 0.500
3 Tc 0.500 0.000 0.500
4 Mo 0.500 0.500 0.000

## Properties
ΔE_f in eV/atom: 0.02

=====

What did the fifth record say?
A geometry-optimized UTcMo structure, computed with PBE.

Cell lengths 4.765, 4.765, 4.765 Å; angles 134.27, 134.27, 66.67 degrees
Sites, in units of the cell vectors:
1 U 0.000 0.000 0.000
2 Tc 0.690 0.690 0.000
3 Mo 0.309 0.309 0.000

## Properties
ΔE_f in eV/atom: 0.18

=====

Q: Among the records above, which one has the highest ΔE_f?
A: number 8

=====

Q: What is the ΔE_f in the eleventh record?
A: 0.04 eV/atom